Entry 1:
Below is VSiRh after structural relaxation, with properties calculated at the PBE level.

Cell: 3.7392 3.7392 6.0778 Å, 90.00 90.00 90.00°
Last column: nearest neighbours and their distance in Å.
Space group P4/nmm (No. 129, origin choice 2)
Symmetry-distinct sites (fractional):
V (0.2500, 0.2500, 0.1670) (multiplicity 2)  5 Si 2.44-2.68
Si (0.2500, 0.2500, 0.7656) (multiplicity 2)  5 V 2.44-2.68, 4 Rh 2.47
Rh (0.2500, 0.7500, 0.5000) (multiplicity 2)  4 Si 2.47, 4 Rh 2.64, 4 V 2.76

Uncorrected formation energy ... -0.511 eV per atom
Total DFT energy (no corrections) ... -0.5739 Ry per atom
Density ... 7.11 Mg/m³



Entry 2:
Below is V2Si2Rh after structural relaxation, with properties calculated at the PBE level.

Cell: 6.1735 6.1735 3.5174 Å, 90.00 90.00 90.00°
Last column: nearest neighbours and their distance in Å.
Space group P4/mbm (No. 127)
Symmetry-distinct sites (fractional):
V (0.1656, 0.3344, 0.0000) (multiplicity 4)  6 Si 2.48-2.56
Si (0.1342, 0.6342, 0.5000) (multiplicity 4)  1 Si 2.34, 2 Rh 2.41, 6 V 2.48-2.56
Rh (0.0000, 0.0000, 0.5000) (multiplicity 2)  4 Si 2.41

Uncorrected formation energy ... -0.557 eV per atom
Total DFT energy (no corrections) ... -0.5765 Ry per atom
Density ... 6.47 Mg/m³



Entry 3:
Below is V4Si6Rh7 after structural relaxation, with properties calculated at the PBE level.

Cell: 7.8172 7.8172 7.8172 Å, 90.00 90.00 90.00°
Last column: nearest neighbours and their distance in Å.
Space group Im-3m (No. 229)
Symmetry-distinct sites (fractional):
V (0.2500, 0.2500, 0.2500) (multiplicity 8)  6 Rh 2.76, 6 Si 2.81
Si (0.0000, 0.0000, 0.3124) (multiplicity 12)  5 Rh 2.44
Rh (0.0000, 0.0000, 0.0000) (multiplicity 2)  6 Si 2.44
Rh (0.0000, 0.2500, 0.5000) (multiplicity 12)  4 Si 2.44

Uncorrected formation energy ... -0.562 eV per atom
Total DFT energy (no corrections) ... -0.5622 Ry per atom
Density ... 7.60 Mg/m³



Entry 4:
Below is VSiRhW after structural relaxation, with properties calculated at the PBE level.

Cell: 6.0512 6.0512 6.0512 Å, 90.00 90.00 90.00°
Last column: nearest neighbours and their distance in Å.
Space group F-43m (No. 216)
Symmetry-distinct sites (fractional):
V (0.0000, 0.0000, 0.0000) (multiplicity 4)  4 W 2.62, 4 Rh 2.62
Si (0.0000, 0.0000, 0.5000) (multiplicity 4)  4 W 2.62, 4 Rh 2.62
Rh (0.2500, 0.2500, 0.2500) (multiplicity 4)  4 Si 2.62, 4 V 2.62
W (0.2500, 0.2500, 0.7500) (multiplicity 4)  4 Si 2.62, 4 V 2.62

Uncorrected formation energy ... -0.277 eV per atom
Total DFT energy (no corrections) ... -0.6607 Ry per atom
Density ... 10.96 Mg/m³



Entry 5:
Below is Si2RhW after structural relaxation, with properties calculated at the PBE level.

Cell: 4.3071 4.3071 2.9384 Å, 90.00 90.00 90.00°
Last column: nearest neighbours and their distance in Å.
Space group P4/mmm (No. 123)
Symmetry-distinct sites (fractional):
Si (0.0000, 0.5000, 0.0000) (multiplicity 2)  4 W 2.61, 4 Rh 2.61
Rh (0.0000, 0.0000, 0.5000) (multiplicity 1)  8 Si 2.61
W (0.5000, 0.5000, 0.5000) (multiplicity 1)  8 Si 2.61

Uncorrected formation energy ... -0.342 eV per atom
Total DFT energy (no corrections) ... -0.5975 Ry per atom
Density ... 10.45 Mg/m³



Entry 6:
Below is Si2RhW after structural relaxation, with properties calculated at the PBE level.

Cell: 2.8365 2.8365 24.2335 Å, 90.00 90.00 120.00°
Last column: nearest neighbours and their distance in Å.
Space group R-3m (No. 166, hexagonal axes)
Symmetry-distinct sites (fractional):
Si (0.0000, 0.0000, 0.2456) (multiplicity 6)  3 Rh 2.52, 3 W 2.68
Rh (0.0000, 0.0000, 0.5000) (multiplicity 3)  6 Si 2.52
W (0.0000, 0.0000, 0.0000) (multiplicity 3)  6 Si 2.68, 6 W 2.84

Uncorrected formation energy ... -0.216 eV per atom
Total DFT energy (no corrections) ... -0.5883 Ry per atom
Density ... 10.12 Mg/m³



Entry 7:
Below is Si2RhW after structural relaxation, with properties calculated at the PBE level.

Cell: 3.2079 3.2079 5.4690 Å, 90.00 90.00 90.00°
Last column: nearest neighbours and their distance in Å.
Space group P4mm (No. 99)
Symmetry-distinct sites (fractional):
Si (0.0000, 0.0000, 0.0000) (multiplicity 1)  4 Rh 2.49, 1 W 2.59, 4 Si 2.70
Si (0.5000, 0.5000, 0.2677) (multiplicity 1)  1 Rh 2.50, 4 W 2.53, 4 Si 2.70
Rh (0.5000, 0.5000, 0.8107) (multiplicity 1)  5 Si 2.49-2.50
W (0.0000, 0.0000, 0.4741) (multiplicity 1)  5 Si 2.53-2.59

Uncorrected formation energy ... -0.297 eV per atom
Total DFT energy (no corrections) ... -0.5942 Ry per atom
Density ... 10.12 Mg/m³



Entry 8:
Below is Si2RhW after structural relaxation, with properties calculated at the PBE level.

Cell: 3.5404 3.5404 8.9048 Å, 90.00 90.00 90.00°
Last column: nearest neighbours and their distance in Å.
Space group I-4m2 (No. 119)
Symmetry-distinct sites (fractional):
Si (0.0000, 0.0000, 0.0000) (multiplicity 2)  4 Rh 2.50
Si (0.0000, 0.5000, 0.2500) (multiplicity 2)  4 W 2.50
Rh (0.0000, 0.0000, 0.5000) (multiplicity 2)  4 Si 2.50
W (0.0000, 0.5000, 0.7500) (multiplicity 2)  4 Si 2.50

Uncorrected formation energy ... -0.186 eV per atom
Total DFT energy (no corrections) ... -0.5860 Ry per atom
Density ... 10.20 Mg/m³



Entry 9:
Below is SiRhW after structural relaxation, with properties calculated at the PBE level.

Cell: 5.9090 5.9090 5.9090 Å, 90.00 90.00 90.00°
Last column: nearest neighbours and their distance in Å.
Space group F-43m (No. 216)
Symmetry-distinct sites (fractional):
Si (0.0000, 0.0000, 0.0000) (multiplicity 4)  4 W 2.56
Rh (0.0000, 0.0000, 0.5000) (multiplicity 4)  4 W 2.56
W (0.2500, 0.2500, 0.2500) (multiplicity 4)  4 Rh 2.56, 4 Si 2.56

Uncorrected formation energy ... 0.225 eV per atom
Total DFT energy (no corrections) ... -0.6138 Ry per atom
Density ... 10.14 Mg/m³



Entry 10:
Below is SiRhW3 after structural relaxation, with properties calculated at the PBE level.

Cell: 4.6891 4.6891 4.6891 Å, 90.00 90.00 90.00°
Last column: nearest neighbours and their distance in Å.
Space group Pm-3m (No. 221)
Symmetry-distinct sites (fractional):
Si (0.0000, 0.0000, 0.0000) (multiplicity 1)  12 W 3.32
Rh (0.5000, 0.5000, 0.5000) (multiplicity 1)  6 W 2.34
W (0.0000, 0.5000, 0.5000) (multiplicity 3)  2 Rh 2.34

Uncorrected formation energy ... 2.132 eV per atom
Total DFT energy (no corrections) ... -0.6023 Ry per atom
Density ... 10.99 Mg/m³



Entry 11:
Below is Si2RhW after structural relaxation, with properties calculated at the PBE level.

Cell: 2.8350 3.8141 5.2701 Å, 90.00 90.00 90.00°
Last column: nearest neighbours and their distance in Å.
Space group Pmmm (No. 47)
Symmetry-distinct sites (fractional):
Si (0.0000, 0.0000, 0.2335) (multiplicity 2)  2 Rh 2.37, 1 Si 2.46
Rh (0.0000, 0.5000, 0.5000) (multiplicity 1)  4 Si 2.37
W (0.5000, 0.5000, 0.0000) (multiplicity 1)  8 Si 2.68, 2 W 2.84, 4 Rh 2.99

Uncorrected formation energy ... -0.287 eV per atom
Total DFT energy (no corrections) ... -0.5935 Ry per atom
Density ... 9.99 Mg/m³



Entry 12:
Below is Si2RhW after structural relaxation, with properties calculated at the PBE level.

Cell: 3.4546 4.4496 7.3066 Å, 90.00 90.00 90.00°
Last column: nearest neighbours and their distance in Å.
Space group Cmmm (No. 65)
Symmetry-distinct sites (fractional):
Si (0.0000, 0.0000, 0.2386) (multiplicity 4)  2 Rh 2.45, 2 W 2.58
Rh (0.0000, 0.5000, 0.0000) (multiplicity 2)  4 Si 2.45
W (0.0000, 0.5000, 0.5000) (multiplicity 2)  4 Si 2.58, 4 W 2.82

Uncorrected formation energy ... -0.164 eV per atom
Total DFT energy (no corrections) ... -0.5844 Ry per atom
Density ... 10.14 Mg/m³